# ErTm2PaN4 PBE relaxed
# Uncorrected formation energy: -40.6 kcal/mol of atoms
# Magnetization: 0.0 μB/cell
# V: 114.5 Å³/cell
data_ErTm2PaN4
_space_group_name_H-M_alt 'P 1'
_space_group_IT_number 1
_cell_length_a 3.446
_cell_length_b 5.932
_cell_length_c 5.930
_cell_angle_alpha 109.16
_cell_angle_beta 90.00
_cell_angle_gamma 90.00
loop_
_space_group_symop_operation_xyz
'x,y,z'
loop_
_atom_site_label
_atom_site_fract_x
_atom_site_fract_y
_atom_site_fract_z
_atom_site_occupancy
Pa1 0.500 0.500 0.000 1
N1 0.500 0.258 0.245 1
N2 0.000 0.253 0.751 1
Tm1 0.500 0.000 0.500 1
N3 0.000 0.747 0.249 1
Tm2 0.000 0.500 0.500 1
Er1 0.000 0.000 0.000 1
N4 0.500 0.742 0.755 1



# Be2AgBr PBE relaxed
# Offset from the most stable computed form: 258 meV/atom
# Uncorrected formation energy: 10.1 kcal/mol of atoms
# Magnetization: 0.0 μB/cell
# V: 72.8 Å³/cell
data_Be2AgBr
_space_group_name_H-M_alt 'P 1'
_space_group_IT_number 1
_cell_length_a 3.222
_cell_length_b 3.222
_cell_length_c 8.218
_cell_angle_alpha 90.00
_cell_angle_beta 90.00
_cell_angle_gamma 121.44
loop_
_space_group_symop_operation_xyz
'x,y,z'
loop_
_atom_site_label
_atom_site_fract_x
_atom_site_fract_y
_atom_site_fract_z
_atom_site_occupancy
Br1 0.000 0.000 0.420 1
Ag1 0.500 0.500 0.816 1
Be1 0.000 0.000 0.029 1
Be2 0.500 0.500 0.235 1



# SrZrI3 PBE relaxed
# Uncorrected formation energy: -12.6 kcal/mol of atoms
# Magnetization: 1.9 μB/cell
# V: 195.1 Å³/cell
data_SrZrI3
_space_group_name_H-M_alt 'P 1'
_space_group_IT_number 1
_cell_length_a 5.800
_cell_length_b 5.800
_cell_length_c 5.800
_cell_angle_alpha 90.00
_cell_angle_beta 90.00
_cell_angle_gamma 90.00
loop_
_space_group_symop_operation_xyz
'x,y,z'
loop_
_atom_site_label
_atom_site_fract_x
_atom_site_fract_y
_atom_site_fract_z
_atom_site_occupancy
I1 0.000 0.000 0.500 1
Zr1 0.000 0.000 0.000 1
Sr1 0.500 0.500 0.500 1
I2 0.500 0.000 0.000 1
I3 0.000 0.500 0.000 1



# FeCu7Pd12 PBE relaxed
# Magnetization: 4.7 μB/cell
# V: 287.6 Å³/cell
# Energy of formation from the pure elements: -0.54 eV/f.u.
data_FeCu7Pd12
_space_group_name_H-M_alt 'P 1'
_space_group_IT_number 1
_cell_length_a 6.864
_cell_length_b 6.864
_cell_length_c 6.864
_cell_angle_alpha 104.18
_cell_angle_beta 104.18
_cell_angle_gamma 104.18
loop_
_space_group_symop_operation_xyz
'x,y,z'
loop_
_atom_site_label
_atom_site_fract_x
_atom_site_fract_y
_atom_site_fract_z
_atom_site_occupancy
Cu1 0.500 0.500 0.500 1
Cu2 0.061 0.113 0.684 1
Pd1 0.650 0.927 0.701 1
Pd2 0.350 0.073 0.299 1
Pd3 0.261 0.537 0.767 1
Pd4 0.701 0.650 0.927 1
Pd5 0.927 0.701 0.650 1
Pd6 0.463 0.233 0.739 1
Cu3 0.939 0.887 0.316 1
Cu4 0.113 0.684 0.061 1
Fe1 0.000 0.000 0.000 1
Pd7 0.233 0.739 0.463 1
Cu5 0.684 0.061 0.113 1
Pd8 0.739 0.463 0.233 1
Pd9 0.767 0.261 0.537 1
Pd10 0.299 0.350 0.073 1
Pd11 0.073 0.299 0.350 1
Cu6 0.316 0.939 0.887 1
Pd12 0.537 0.767 0.261 1
Cu7 0.887 0.316 0.939 1